# 1
Computed, not measured: LaPmPr2Ho after structural relaxation at the PBE-GGA level of DFT.

Structure (extended XYZ):
```
10
Lattice="6.616 0.000 0.000 0.000 8.523 1.081 0.000 -1.391 6.218" Properties=species:S:1:pos:R:3 pbc="T T T"
Pr 2.048 5.473 2.493
Pr 4.567 1.658 4.806
Pr 2.048 2.354 1.697
Pr 4.567 4.778 5.603
La 0.000 0.000 0.000
La 0.000 -0.696 3.109
Ho 1.095 3.218 5.204
Ho 5.520 3.914 2.095
Pm 3.729 -0.348 1.555
Pm 2.886 -1.044 4.664
```

Results
DOS(E_F) in states/eV per cell: 13.90
Space group: No. 13
E_tot in eV/cell: -45.05
Calculated formation energy in eV/atom: 0.258

---

# 2
Computed, not measured: NiB4 after structural relaxation at the PBE-GGA level of DFT.

Structure (extended XYZ):
```
5
Lattice="-2.269 -2.023 2.180 2.361 0.442 2.868 -1.808 3.115 1.009" Properties=species:S:1:pos:R:3 pbc="T T T"
B 0.046 -0.791 2.524
B 0.000 0.000 0.000
B -2.039 0.546 1.594
B 0.276 1.779 1.938
Ni -0.858 0.767 3.028
```

Results
DOS(E_F) in states/eV per cell: 2.11
Space group: No. 221
E_tot in eV/cell: -23.76
Calculated formation energy in eV/atom: 1.747

---

# 3
Computed, not measured: Y2MoPt after structural relaxation at the PBE-GGA level of DFT.

Structure (extended XYZ):
```
8
Lattice="7.752 0.000 0.000 0.000 7.752 0.000 3.876 3.876 3.103" Properties=species:S:1:pos:R:3 pbc="T T T"
Y 5.982 1.938 0.776
Y 9.690 9.858 2.327
Y 1.770 5.814 0.776
Y 5.814 5.646 2.327
Pt 7.752 3.876 1.552
Pt 0.000 0.000 0.000
Mo 3.876 3.876 0.000
Mo 3.876 7.752 1.552
```

Results
DOS(E_F) in states/eV per cell: 6.00
Space group: No. 122
E_tot in eV/cell: -58.43
Calculated formation energy in eV/atom: 0.147

---

# 4
Computed, not measured: Ca2SmHg5 after structural relaxation at the PBE-GGA level of DFT.

Structure (extended XYZ):
```
8
Lattice="-5.275 -0.054 -0.568 -0.280 -4.358 3.014 2.089 6.403 4.783" Properties=species:S:1:pos:R:3 pbc="T T T"
Ca -3.107 -0.202 4.090
Ca -0.360 2.194 3.139
Hg -2.809 1.015 1.207
Hg -0.311 -1.137 2.998
Hg -2.778 -2.206 1.223
Hg -3.156 3.129 4.231
Hg -0.658 0.976 6.022
Sm 0.000 0.000 0.000
```

Results
DOS(E_F) in states/eV per cell: 4.33
Space group: No. 139
E_tot in eV/cell: -13.89
Calculated formation energy in eV/atom: -0.458